! Tb3Zn3Ag, optimized geometry, DFT PBE-GGA; values from VASP
&SYSTEM
  ibrav = 0, nat = 7, ntyp = 3
/
ATOMIC_SPECIES
Tb 158.93 Tb.upf
Zn 65.41 Zn.upf
Ag 107.87 Ag.upf
ATOMIC_POSITIONS angstrom
Tb 0.000 0.000 0.000
Tb 0.000 0.000 7.656
Tb 0.000 2.260 3.764
Zn 1.782 0.000 2.453
Zn 0.000 0.000 10.887
Zn 0.000 0.000 16.440
Ag 1.782 0.000 5.093
CELL_PARAMETERS angstrom
-1.782 2.260 9.827
1.782 -2.260 9.827
1.782 2.260 -9.827
! * formation energy from the elements: -0.30 eV per atom
! * calculated density: 8.19 g/cm3

***

! Tb8ZnAg2, optimized geometry, DFT PBE-GGA; values from VASP
&SYSTEM
  ibrav = 0, nat = 11, ntyp = 3
/
ATOMIC_SPECIES
Tb 158.93 Tb.upf
Zn 65.41 Zn.upf
Ag 107.87 Ag.upf
ATOMIC_POSITIONS angstrom
Tb -0.087 0.000 1.850
Tb 1.875 0.000 5.369
Tb 4.896 0.000 3.445
Tb 7.181 0.000 0.284
Tb 8.632 0.000 6.318
Tb 10.917 0.000 3.157
Tb 13.938 0.000 1.233
Tb 15.900 0.000 4.751
Zn 7.907 0.000 3.301
Ag 2.807 0.000 1.462
Ag 13.006 0.000 5.140
CELL_PARAMETERS angstrom
8.917 -2.607 0.000
8.917 2.607 0.000
-2.021 0.000 6.602
! * formation energy from the elements: -0.14 eV per atom
! * calculated density: 8.40 g/cm3

***

! TbZn2Ag, optimized geometry, DFT PBE-GGA; values from VASP
&SYSTEM
  ibrav = 0, nat = 16, ntyp = 3
/
ATOMIC_SPECIES
Tb 158.93 Tb.upf
Zn 65.41 Zn.upf
Ag 107.87 Ag.upf
ATOMIC_POSITIONS angstrom
Tb 1.537 1.089 1.753
Tb 1.959 3.268 6.845
Tb 5.032 1.089 3.339
Tb 5.455 3.268 8.431
Zn 0.572 1.089 8.686
Zn 1.365 3.268 9.803
Zn 2.131 1.089 4.711
Zn 2.924 3.268 3.594
Zn 4.067 1.089 6.590
Zn 4.860 3.268 5.473
Zn 5.627 1.089 0.381
Zn 6.420 3.268 1.498
Ag 0.250 3.268 4.092
Ag 3.246 1.089 9.184
Ag 3.746 3.268 1.001
Ag 6.741 1.089 6.093
CELL_PARAMETERS angstrom
6.991 0.000 0.000
0.000 4.358 0.000
0.000 0.000 10.184
! * formation energy from the elements: -0.33 eV per atom
! * calculated density: 8.51 g/cm3

***

! Tb2Zn2Ag, optimized geometry, DFT PBE-GGA; values from VASP
&SYSTEM
  ibrav = 0, nat = 10, ntyp = 3
/
ATOMIC_SPECIES
Tb 158.93 Tb.upf
Zn 65.41 Zn.upf
Ag 107.87 Ag.upf
ATOMIC_POSITIONS angstrom
Tb -1.386 0.000 3.166
Tb 1.471 0.000 1.021
Tb 4.215 0.000 8.556
Tb 7.072 0.000 6.411
Zn 1.758 0.000 4.126
Zn 4.410 0.000 1.060
Zn 1.276 0.000 8.517
Zn 3.928 0.000 5.451
Ag -0.137 0.000 6.258
Ag 5.823 0.000 3.319
CELL_PARAMETERS angstrom
5.113 -2.294 0.000
5.113 2.294 0.000
-4.539 0.000 9.577
! * formation energy from the elements: -0.30 eV per atom
! * calculated density: 8.23 g/cm3

***

! TbZn3Ag9, optimized geometry, DFT PBE-GGA; values from VASP
&SYSTEM
  ibrav = 0, nat = 13, ntyp = 3
/
ATOMIC_SPECIES
Tb 158.93 Tb.upf
Zn 65.41 Zn.upf
Ag 107.87 Ag.upf
ATOMIC_POSITIONS angstrom
Tb 0.000 0.000 0.000
Zn 1.327 3.335 0.000
Zn 1.327 -3.335 0.000
Zn 1.489 0.000 3.349
Ag -1.164 0.000 3.349
Ag 0.299 4.298 4.406
Ag 0.335 1.442 5.278
Ag 2.680 4.298 2.292
Ag 2.644 1.442 1.419
Ag 0.335 -1.442 5.278
Ag 0.299 -4.298 4.406
Ag 2.644 -1.442 1.419
Ag 2.680 -4.298 2.292
CELL_PARAMETERS angstrom
2.654 -6.670 0.000
2.654 6.670 0.000
-2.329 0.000 6.697
! * formation energy from the elements: -0.11 eV per atom
! * calculated density: 9.29 g/cm3

***

! Tb6ZnAg5, optimized geometry, DFT PBE-GGA; values from VASP
&SYSTEM
  ibrav = 0, nat = 12, ntyp = 3
/
ATOMIC_SPECIES
Tb 158.93 Tb.upf
Zn 65.41 Zn.upf
Ag 107.87 Ag.upf
ATOMIC_POSITIONS angstrom
Tb 0.000 0.000 1.803
Tb 0.000 0.000 5.455
Tb 2.580 2.564 1.806
Tb 2.580 2.564 5.452
Tb 2.580 -2.564 1.806
Tb 2.580 -2.564 5.452
Zn 2.580 0.000 0.000
Ag 2.580 5.187 0.000
Ag 2.580 5.141 3.629
Ag 2.580 0.000 3.629
Ag 2.580 -5.141 3.629
Ag 2.580 -5.187 0.000
CELL_PARAMETERS angstrom
2.580 -7.730 0.000
2.580 7.730 0.000
0.000 0.000 7.258
! * formation energy from the elements: -0.32 eV per atom
! * calculated density: 8.94 g/cm3

***

! TbZn9Ag2, optimized geometry, DFT PBE-GGA; values from VASP
&SYSTEM
  ibrav = 0, nat = 12, ntyp = 3
/
ATOMIC_SPECIES
Tb 158.93 Tb.upf
Zn 65.41 Zn.upf
Ag 107.87 Ag.upf
ATOMIC_POSITIONS angstrom
Tb 0.000 0.000 0.000
Zn -2.203 3.815 0.000
Zn 0.000 2.742 1.521
Zn -2.031 6.259 1.521
Zn 2.374 1.371 1.521
Zn 4.405 0.000 0.000
Zn 2.203 3.815 0.000
Zn 2.031 6.259 1.521
Zn 6.436 1.371 1.521
Zn 4.405 4.888 1.521
Ag 0.000 5.087 0.000
Ag 4.405 2.543 0.000
CELL_PARAMETERS angstrom
8.810 0.000 0.000
-4.405 7.630 0.000
0.000 0.000 3.041
! * formation energy from the elements: -0.07 eV per atom
! * calculated density: 7.82 g/cm3

***

! Tb2Zn7Ag, optimized geometry, DFT PBE-GGA; values from VASP
&SYSTEM
  ibrav = 0, nat = 10, ntyp = 3
/
ATOMIC_SPECIES
Tb 158.93 Tb.upf
Zn 65.41 Zn.upf
Ag 107.87 Ag.upf
ATOMIC_POSITIONS angstrom
Tb 0.000 2.064 2.642
Tb 2.064 0.000 8.327
Zn 0.000 0.000 0.000
Zn 0.000 2.064 7.082
Zn 0.000 2.064 9.509
Zn 2.064 0.000 1.460
Zn 2.064 0.000 3.887
Zn 2.064 2.064 0.000
Zn 2.064 2.064 5.485
Ag 0.000 0.000 5.485
CELL_PARAMETERS angstrom
4.128 0.000 0.000
0.000 4.128 0.000
0.000 0.000 10.969
! * formation energy from the elements: -0.28 eV per atom
! * calculated density: 7.85 g/cm3

***

! TbZn3Ag2, optimized geometry, DFT PBE-GGA; values from VASP
&SYSTEM
  ibrav = 0, nat = 12, ntyp = 3
/
ATOMIC_SPECIES
Tb 158.93 Tb.upf
Zn 65.41 Zn.upf
Ag 107.87 Ag.upf
ATOMIC_POSITIONS angstrom
Tb 0.000 0.000 3.183
Tb 0.000 0.000 9.549
Zn 0.000 0.000 0.000
Zn 0.000 0.000 6.366
Zn 0.000 2.595 1.726
Zn 0.000 2.595 4.640
Zn 2.247 1.297 8.092
Zn 2.247 1.297 11.006
Ag 0.000 2.595 7.400
Ag 0.000 2.595 11.698
Ag 2.247 1.297 1.034
Ag 2.247 1.297 5.332
CELL_PARAMETERS angstrom
4.494 0.000 0.000
-2.247 3.892 0.000
0.000 0.000 12.732
! * formation energy from the elements: -0.21 eV per atom
! * calculated density: 8.51 g/cm3

***

! TbZnAg2, optimized geometry, DFT PBE-GGA; values from VASP
&SYSTEM
  ibrav = 0, nat = 8, ntyp = 3
/
ATOMIC_SPECIES
Tb 158.93 Tb.upf
Zn 65.41 Zn.upf
Ag 107.87 Ag.upf
ATOMIC_POSITIONS angstrom
Tb 1.736 8.200 3.490
Tb 1.736 -8.200 1.163
Zn 1.736 3.369 3.490
Zn 1.736 -3.369 1.163
Ag 1.736 4.738 1.163
Ag 1.736 0.742 3.490
Ag 1.736 -0.742 1.163
Ag 1.736 -4.738 3.490
CELL_PARAMETERS angstrom
1.736 -10.215 0.000
1.736 10.215 0.000
0.000 0.000 4.653
! * formation energy from the elements: -0.23 eV per atom
! * calculated density: 8.86 g/cm3

***

! TbZn9Ag2, optimized geometry, DFT PBE-GGA; values from VASP
&SYSTEM
  ibrav = 0, nat = 12, ntyp = 3
/
ATOMIC_SPECIES
Tb 158.93 Tb.upf
Zn 65.41 Zn.upf
Ag 107.87 Ag.upf
ATOMIC_POSITIONS angstrom
Tb 0.000 0.000 0.000
Zn -1.330 -0.768 10.461
Zn 0.000 0.000 8.319
Zn 0.000 -1.536 14.471
Zn -1.330 0.768 14.471
Zn 0.000 0.000 12.466
Zn 1.330 -0.768 10.461
Zn 0.000 1.536 10.461
Zn 0.000 0.000 16.613
Zn 1.330 0.768 14.471
Ag 0.000 0.000 3.429
Ag 0.000 0.000 21.502
CELL_PARAMETERS angstrom
2.616 1.510 8.311
-2.616 1.510 8.311
0.000 -3.020 8.311
! * formation energy from the elements: -0.14 eV per atom
! * calculated density: 8.12 g/cm3

***

! Tb4Zn5Ag, optimized geometry, DFT PBE-GGA; values from VASP
&SYSTEM
  ibrav = 0, nat = 10, ntyp = 3
/
ATOMIC_SPECIES
Tb 158.93 Tb.upf
Zn 65.41 Zn.upf
Ag 107.87 Ag.upf
ATOMIC_POSITIONS angstrom
Tb 0.000 0.000 1.821
Tb 0.000 0.000 5.408
Tb 0.000 0.000 11.981
Tb 0.000 0.000 15.569
Zn 1.762 1.762 0.000
Zn 1.762 1.762 3.612
Zn 1.762 1.762 7.285
Zn 1.762 1.762 10.104
Zn 1.762 1.762 13.778
Ag 0.000 0.000 8.695
CELL_PARAMETERS angstrom
3.525 0.000 0.000
0.000 3.525 0.000
0.000 0.000 17.390
! * formation energy from the elements: -0.27 eV per atom
! * calculated density: 8.23 g/cm3

***

Number 1: magnetic moment 0.00 μB/f.u.. Number 2: magnetic moment 0.00 μB/f.u.. Number 3: magnetic moment 0.00 μB/f.u.. Number 4: magnetic moment 0.00 μB/f.u.. Number 5: magnetic moment 0.00 μB/f.u.. Number 6: magnetic moment 0.00 μB/f.u.. Number 7: magnetic moment 0.05 μB/f.u.. Number 8: magnetic moment 0.00 μB/f.u.. Number 9: magnetic moment 0.00 μB/f.u.. Number 10: magnetic moment 0.00 μB/f.u.. Number 11: magnetic moment 0.00 μB/f.u.. Number 12: magnetic moment 0.00 μB/f.u..